A plane-wave DFT calculation with GGA-PBEsol was carried out for a relaxed Ba2YSiTc crystal.

The space group is P4/mmm (No. 123) and the conventional cell measures 5.742, 5.742 and 4.767 Å, with angles of 90.00, 90.00 and 90.00 degrees. The inequivalent atoms are Ba at (0.000, 0.500, 0.000), Y at (0.000, 0.000, 0.500), Si at (0.500, 0.500, 0.500) and Tc at (0.500, 0.500, 0.000).

The calculation puts the density of states at the Fermi level at 1.100 states/eV/atom. The calculation puts the density at 5.174 Mg/m³. For the total energy, the calculation gives -5.08 eV/atom.

A plane-wave DFT calculation with GGA-PBEsol was carried out for a relaxed Ba2SiTe crystal.

The space group is F-43m (No. 216) and the conventional cell measures 7.951, 7.951 and 7.951 Å, with angles of 90.00, 90.00 and 90.00 degrees. The inequivalent atoms are Ba at (0.000, 0.000, 0.000), Ba at (0.250, 0.250, 0.250), Si at (0.000, 0.000, 0.500) and Te at (0.250, 0.250, 0.750).

The calculation puts the density of states at the Fermi level at 0.992 states/eV/atom. The calculation puts the density at 5.686 Mg/m³. For the total energy, the calculation gives -3.65 eV/atom.

A plane-wave DFT calculation with GGA-PBEsol was carried out for a relaxed Ba2SiTe crystal.

The space group is I-4m2 (No. 119) and the conventional cell measures 4.779, 4.779 and 11.731 Å, with angles of 90.00, 90.00 and 90.00 degrees. The inequivalent atoms are Ba at (0.000, 0.000, 0.000), Ba at (0.000, 0.500, 0.250), Si at (0.000, 0.000, 0.500) and Te at (0.000, 0.500, 0.750).

The calculation puts the density of states at the Fermi level at 0.844 states/eV/atom. The calculation puts the density at 5.335 Mg/m³. For the total energy, the calculation gives -3.99 eV/atom.

A plane-wave DFT calculation with GGA-PBEsol was carried out for a relaxed Ba2SiTe crystal.

The space group is Fm-3m (No. 225) and the conventional cell measures 8.183, 8.183 and 8.183 Å, with angles of 90.00, 90.00 and 90.00 degrees. The inequivalent atoms are Ba at (0.250, 0.250, 0.250), Si at (0.000, 0.000, 0.000) and Te at (0.000, 0.000, 0.500).

The calculation puts the density of states at the Fermi level at 1.214 states/eV/atom. The calculation puts the density at 5.217 Mg/m³. For the total energy, the calculation gives -4.03 eV/atom.

> density of number 1 (Ba2YSiTc)?

5.174 Mg/m³

> What is the density in the third record?

5.335 Mg/m³